DFT (GGA-PBE) results for LaPm3Nd2As6 after structural relaxation.

```
data_LaPm3Nd2As6
_chemical_formula_sum 'La1 Pm3 Nd2 As6'
_cell_length_a 4.275
_cell_length_b 8.546
_cell_length_c 9.553
_cell_angle_alpha 102.93
_cell_angle_beta 102.93
_cell_angle_gamma 90.00
_space_group_name_H-M_alt 'P 1'
_space_group_IT_number 1
loop_
_space_group_symop_operation_xyz
'x,y,z'
loop_
_atom_site_label
_atom_site_fract_x
_atom_site_fract_y
_atom_site_fract_z
La1 0.500 0.000 0.000
Pm1 0.500 0.500 0.000
Pm2 0.833 0.168 0.667
Pm3 0.167 0.832 0.333
Nd1 0.833 0.666 0.666
Nd2 0.167 0.334 0.334
As1 0.332 0.917 0.663
As2 0.666 0.584 0.333
As3 0.668 0.083 0.337
As4 0.000 0.254 0.999
As5 0.000 0.746 0.001
As6 0.334 0.416 0.667
```

Results
Space group: C2/m, No. 12
M_tot: 0.00 Bohr magnetons per cell
Volume: 331 Å³/f.u.
Energy of formation from the pure elements: -1.528 eV per atom
Density: 6.58 g/cm³
Total DFT energy (no corrections): -6.246 eV per atom



DFT (GGA-PBE) results for Pr2HfAs3Rh4 after structural relaxation.

```
data_Pr2HfAs3Rh4
_chemical_formula_sum 'Pr2 Hf1 As3 Rh4'
_cell_length_a 4.148
_cell_length_b 4.148
_cell_length_c 11.134
_cell_angle_alpha 90.00
_cell_angle_beta 90.00
_cell_angle_gamma 90.00
_space_group_name_H-M_alt 'P 1'
_space_group_IT_number 1
loop_
_space_group_symop_operation_xyz
'x,y,z'
loop_
_atom_site_label
_atom_site_fract_x
_atom_site_fract_y
_atom_site_fract_z
Pr1 0.500 0.000 0.227
Pr2 0.000 0.500 0.773
Hf1 0.500 0.500 0.500
As1 0.000 0.000 0.500
As2 0.500 0.000 0.866
As3 0.000 0.500 0.134
Rh1 0.500 0.500 0.000
Rh2 0.000 0.000 0.000
Rh3 0.500 0.000 0.643
Rh4 0.000 0.500 0.357
```

Results
Space group: P-4m2, No. 115
M_tot: 0.00 Bohr magnetons per cell
Volume: 192 Å³/f.u.
Energy of formation from the pure elements: -0.957 eV per atom
Density: 9.50 g/cm³
Total DFT energy (no corrections): -7.244 eV per atom



DFT (GGA-PBE) results for AcIn2GaRu2 after structural relaxation.

```
data_AcIn2GaRu2
_chemical_formula_sum 'Ac1 In2 Ga1 Ru2'
_cell_length_a 4.694
_cell_length_b 4.694
_cell_length_c 6.205
_cell_angle_alpha 90.00
_cell_angle_beta 90.00
_cell_angle_gamma 90.00
_space_group_name_H-M_alt 'P 1'
_space_group_IT_number 1
loop_
_space_group_symop_operation_xyz
'x,y,z'
loop_
_atom_site_label
_atom_site_fract_x
_atom_site_fract_y
_atom_site_fract_z
Ac1 0.000 0.000 0.500
In1 0.500 0.500 0.745
In2 0.500 0.500 0.255
Ga1 0.000 0.000 0.000
Ru1 0.500 0.000 0.000
Ru2 0.000 0.500 0.000
```

Results
Space group: P4/mmm, No. 123
M_tot: 0.00 Bohr magnetons per cell
Volume: 137 Å³/f.u.
Energy of formation from the pure elements: -0.202 eV per atom
Density: 8.85 g/cm³
Total DFT energy (no corrections): -5.396 eV per atom



> Which of these has the lowest total DFT energy (no corrections)?

Pr2HfAs3Rh4



Copy entry 1 word for word.
DFT (GGA-PBE) results for LaPm3Nd2As6 after structural relaxation.

```
data_LaPm3Nd2As6
_chemical_formula_sum 'La1 Pm3 Nd2 As6'
_cell_length_a 4.275
_cell_length_b 8.546
_cell_length_c 9.553
_cell_angle_alpha 102.93
_cell_angle_beta 102.93
_cell_angle_gamma 90.00
_space_group_name_H-M_alt 'P 1'
_space_group_IT_number 1
loop_
_space_group_symop_operation_xyz
'x,y,z'
loop_
_atom_site_label
_atom_site_fract_x
_atom_site_fract_y
_atom_site_fract_z
La1 0.500 0.000 0.000
Pm1 0.500 0.500 0.000
Pm2 0.833 0.168 0.667
Pm3 0.167 0.832 0.333
Nd1 0.833 0.666 0.666
Nd2 0.167 0.334 0.334
As1 0.332 0.917 0.663
As2 0.666 0.584 0.333
As3 0.668 0.083 0.337
As4 0.000 0.254 0.999
As5 0.000 0.746 0.001
As6 0.334 0.416 0.667
```

Results
Space group: C2/m, No. 12
M_tot: 0.00 Bohr magnetons per cell
Volume: 331 Å³/f.u.
Energy of formation from the pure elements: -1.528 eV per atom
Density: 6.58 g/cm³
Total DFT energy (no corrections): -6.246 eV per atom